[1]
# SbH24C6N3Cl6

A PBEsol-optimized structure of SbH24C6N3Cl6 (SCAN, Alexandria via LeMat-Bulk).

Values from the calculation:
Total DFT energy (no corrections): -6.869 eV per atom
SG: No. 2
N(E_F): 0.0000 states/eV/atom

a b c (Å): 9.401 10.037 11.148
angles (deg): 66.04 77.56 76.48
Positions (direct):
Sb (0.172, 0.486, 0.342)
Sb (0.828, 0.514, 0.658)
H (0.004, 0.173, 0.634)
H (0.034, 0.009, 0.881)
H (0.056, 0.017, 0.604)
H (0.073, 0.136, 0.039)
H (0.076, 0.850, 0.837)
H (0.106, 0.872, 0.442)
H (0.165, 0.078, 0.253)
H (0.176, 0.562, 0.854)
H (0.207, 0.916, 0.213)
H (0.253, 0.484, 0.671)
H (0.263, 0.288, 0.910)
H (0.275, 0.060, 0.880)
H (0.305, 0.347, 0.028)
H (0.305, 0.648, 0.632)
H (0.314, 0.880, 0.874)
H (0.352, 0.174, 0.631)
H (0.361, 0.585, 0.846)
H (0.385, 0.008, 0.619)
H (0.405, 0.919, 0.976)
H (0.427, 0.081, 0.233)
H (0.432, 0.490, 0.667)
H (0.448, 0.313, 0.904)
H (0.461, 0.903, 0.223)
H (0.477, 0.888, 0.438)
H (0.523, 0.112, 0.562)
H (0.539, 0.097, 0.777)
H (0.552, 0.687, 0.096)
H (0.568, 0.510, 0.333)
H (0.573, 0.919, 0.767)
H (0.595, 0.081, 0.024)
H (0.615, 0.992, 0.381)
H (0.639, 0.415, 0.154)
H (0.648, 0.826, 0.369)
H (0.686, 0.120, 0.126)
H (0.695, 0.352, 0.368)
H (0.695, 0.653, 0.972)
H (0.725, 0.940, 0.120)
H (0.737, 0.712, 0.090)
H (0.747, 0.516, 0.329)
H (0.793, 0.084, 0.787)
H (0.824, 0.438, 0.146)
H (0.835, 0.922, 0.747)
H (0.894, 0.128, 0.558)
H (0.924, 0.150, 0.163)
H (0.927, 0.864, 0.961)
H (0.944, 0.983, 0.396)
H (0.966, 0.991, 0.119)
H (0.996, 0.827, 0.366)
C (0.014, 0.072, 0.135)
C (0.117, 0.997, 0.238)
C (0.293, 0.516, 0.834)
C (0.330, 0.356, 0.924)
C (0.363, 0.966, 0.880)
C (0.487, 0.013, 0.769)
C (0.513, 0.987, 0.231)
C (0.637, 0.034, 0.120)
C (0.670, 0.644, 0.076)
C (0.707, 0.484, 0.166)
C (0.883, 0.003, 0.762)
C (0.986, 0.928, 0.865)
N (0.037, 0.914, 0.369)
N (0.323, 0.535, 0.692)
N (0.434, 0.081, 0.638)
N (0.566, 0.919, 0.362)
N (0.677, 0.465, 0.308)
N (0.963, 0.086, 0.631)
Cl (0.028, 0.314, 0.323)
Cl (0.139, 0.320, 0.643)
Cl (0.199, 0.626, 0.105)
Cl (0.266, 0.893, 0.560)
Cl (0.357, 0.646, 0.365)
Cl (0.393, 0.305, 0.327)
Cl (0.607, 0.695, 0.673)
Cl (0.643, 0.354, 0.635)
Cl (0.734, 0.107, 0.440)
Cl (0.801, 0.374, 0.895)
Cl (0.861, 0.680, 0.357)
Cl (0.972, 0.686, 0.677)

---

[2]
# Sb2H24C6N3Cl9

A PBEsol-optimized structure of Sb2H24C6N3Cl9 (SCAN, Alexandria via LeMat-Bulk).

Values from the calculation:
Total DFT energy (no corrections): -7.702 eV per atom
SG: No. 7
N(E_F): 0.0000 states/eV/atom

a b c (Å): 9.374 8.930 13.970
angles (deg): 90.00 95.32 90.00
Positions (direct):
Sb (0.000, 0.203, 0.000)
Sb (0.000, 0.797, 0.500)
Sb (0.309, 0.293, 0.665)
Sb (0.309, 0.707, 0.165)
H (0.041, 0.447, 0.385)
H (0.041, 0.553, 0.885)
H (0.061, 0.258, 0.430)
H (0.061, 0.742, 0.930)
H (0.142, 0.117, 0.245)
H (0.142, 0.883, 0.745)
H (0.191, 0.380, 0.261)
H (0.191, 0.620, 0.761)
H (0.228, 0.089, 0.364)
H (0.228, 0.911, 0.864)
H (0.277, 0.355, 0.372)
H (0.277, 0.645, 0.872)
H (0.331, 0.152, 0.269)
H (0.331, 0.848, 0.769)
H (0.380, 0.203, 0.076)
H (0.380, 0.797, 0.576)
H (0.418, 0.227, 0.908)
H (0.418, 0.773, 0.408)
H (0.429, 0.015, 0.485)
H (0.429, 0.985, 0.985)
H (0.452, 0.383, 0.046)
H (0.452, 0.617, 0.546)
H (0.547, 0.002, 0.390)
H (0.547, 0.998, 0.890)
H (0.568, 0.242, 0.105)
H (0.568, 0.758, 0.605)
H (0.595, 0.255, 0.937)
H (0.595, 0.745, 0.437)
H (0.617, 0.013, 0.014)
H (0.617, 0.987, 0.514)
H (0.644, 0.363, 0.604)
H (0.644, 0.637, 0.104)
H (0.760, 0.483, 0.745)
H (0.760, 0.517, 0.245)
H (0.769, 0.234, 0.490)
H (0.769, 0.766, 0.990)
H (0.778, 0.283, 0.753)
H (0.778, 0.717, 0.253)
H (0.780, 0.466, 0.573)
H (0.780, 0.534, 0.073)
H (0.786, 0.137, 0.603)
H (0.786, 0.863, 0.103)
H (0.926, 0.395, 0.719)
H (0.926, 0.605, 0.219)
H (0.931, 0.249, 0.569)
H (0.931, 0.751, 0.069)
H (0.971, 0.292, 0.313)
H (0.971, 0.708, 0.813)
C (0.057, 0.330, 0.366)
C (0.057, 0.670, 0.866)
C (0.227, 0.157, 0.299)
C (0.227, 0.843, 0.799)
C (0.474, 0.262, 0.053)
C (0.474, 0.738, 0.553)
C (0.526, 0.037, 0.962)
C (0.526, 0.963, 0.462)
C (0.809, 0.384, 0.714)
C (0.809, 0.616, 0.214)
C (0.814, 0.239, 0.565)
C (0.814, 0.761, 0.065)
N (0.195, 0.314, 0.323)
N (0.195, 0.686, 0.823)
N (0.504, 0.201, 0.959)
N (0.504, 0.799, 0.459)
N (0.755, 0.371, 0.612)
N (0.755, 0.629, 0.112)
Cl (0.122, 0.465, 0.120)
Cl (0.122, 0.535, 0.620)
Cl (0.168, 0.023, 0.557)
Cl (0.168, 0.977, 0.057)
Cl (0.204, 0.267, 0.839)
Cl (0.204, 0.733, 0.339)
Cl (0.430, 0.340, 0.507)
Cl (0.430, 0.660, 0.007)
Cl (0.462, 0.489, 0.742)
Cl (0.462, 0.511, 0.242)
Cl (0.506, 0.113, 0.712)
Cl (0.506, 0.887, 0.212)
Cl (0.795, 0.397, 0.949)
Cl (0.795, 0.603, 0.449)
Cl (0.864, 0.149, 0.136)
Cl (0.864, 0.851, 0.636)
Cl (0.869, 0.033, 0.888)
Cl (0.869, 0.967, 0.388)

---

[3]
# H32WC8N4Cl7

A PBEsol-optimized structure of H32WC8N4Cl7 (SCAN, Alexandria via LeMat-Bulk).

Values from the calculation:
Total DFT energy (no corrections): -7.206 eV per atom
SG: No. 18
N(E_F): 0.0000 states/eV/atom

a b c (Å): 10.052 12.644 8.613
angles (deg): 90.00 90.00 90.00
Positions (direct):
H (0.015, 0.158, 0.312)
H (0.038, 0.147, 0.590)
H (0.068, 0.601, 0.117)
H (0.095, 0.947, 0.618)
H (0.100, 0.821, 0.713)
H (0.107, 0.947, 0.321)
H (0.132, 0.736, 0.475)
H (0.148, 0.825, 0.227)
H (0.150, 0.747, 0.952)
H (0.153, 0.476, 0.108)
H (0.173, 0.565, 0.865)
H (0.176, 0.056, 0.045)
H (0.187, 0.236, 0.963)
H (0.208, 0.226, 0.171)
H (0.230, 0.586, 0.203)
H (0.242, 0.835, 0.487)
H (0.258, 0.335, 0.513)
H (0.270, 0.086, 0.797)
H (0.292, 0.726, 0.829)
H (0.313, 0.736, 0.037)
H (0.324, 0.556, 0.955)
H (0.327, 0.065, 0.135)
H (0.347, 0.976, 0.892)
H (0.350, 0.247, 0.048)
H (0.352, 0.325, 0.773)
H (0.368, 0.236, 0.525)
H (0.393, 0.447, 0.679)
H (0.400, 0.321, 0.287)
H (0.405, 0.447, 0.382)
H (0.432, 0.101, 0.883)
H (0.462, 0.647, 0.410)
H (0.485, 0.658, 0.688)
H (0.515, 0.342, 0.688)
H (0.538, 0.353, 0.410)
H (0.568, 0.899, 0.883)
H (0.595, 0.553, 0.382)
H (0.600, 0.679, 0.287)
H (0.607, 0.553, 0.679)
H (0.632, 0.764, 0.525)
H (0.648, 0.675, 0.773)
H (0.650, 0.753, 0.048)
H (0.653, 0.024, 0.892)
H (0.673, 0.935, 0.135)
H (0.676, 0.444, 0.955)
H (0.687, 0.264, 0.037)
H (0.708, 0.274, 0.829)
H (0.730, 0.914, 0.797)
H (0.742, 0.665, 0.513)
H (0.758, 0.165, 0.487)
H (0.770, 0.414, 0.203)
H (0.792, 0.774, 0.171)
H (0.813, 0.764, 0.963)
H (0.824, 0.944, 0.045)
H (0.827, 0.435, 0.865)
H (0.847, 0.524, 0.108)
H (0.850, 0.253, 0.952)
H (0.852, 0.175, 0.227)
H (0.868, 0.264, 0.475)
H (0.893, 0.053, 0.321)
H (0.900, 0.179, 0.713)
H (0.905, 0.053, 0.618)
H (0.932, 0.399, 0.117)
H (0.962, 0.853, 0.590)
H (0.985, 0.842, 0.312)
W (0.000, 0.500, 0.585)
W (0.500, 0.000, 0.415)
C (0.069, 0.863, 0.608)
C (0.091, 0.861, 0.323)
C (0.165, 0.562, 0.106)
C (0.247, 0.708, 0.943)
C (0.253, 0.208, 0.057)
C (0.335, 0.062, 0.894)
C (0.409, 0.361, 0.677)
C (0.431, 0.363, 0.392)
C (0.569, 0.637, 0.392)
C (0.591, 0.639, 0.677)
C (0.665, 0.938, 0.894)
C (0.747, 0.792, 0.057)
C (0.753, 0.292, 0.943)
C (0.835, 0.438, 0.106)
C (0.909, 0.139, 0.323)
C (0.931, 0.137, 0.608)
N (0.140, 0.819, 0.472)
N (0.229, 0.593, 0.958)
N (0.271, 0.093, 0.042)
N (0.360, 0.319, 0.528)
N (0.640, 0.681, 0.528)
N (0.729, 0.907, 0.042)
N (0.771, 0.407, 0.958)
N (0.860, 0.181, 0.472)
Cl (0.000, 0.000, 0.984)
Cl (0.073, 0.380, 0.788)
Cl (0.076, 0.372, 0.393)
Cl (0.217, 0.585, 0.575)
Cl (0.283, 0.085, 0.425)
Cl (0.424, 0.872, 0.607)
Cl (0.427, 0.880, 0.212)
Cl (0.500, 0.500, 0.016)
Cl (0.573, 0.120, 0.212)
Cl (0.576, 0.128, 0.607)
Cl (0.717, 0.915, 0.425)
Cl (0.783, 0.415, 0.575)
Cl (0.924, 0.628, 0.393)
Cl (0.927, 0.620, 0.788)

---

[4]
# H12W3C4NCl9

A PBEsol-optimized structure of H12W3C4NCl9 (SCAN, Alexandria via LeMat-Bulk).

Values from the calculation:
Total DFT energy (no corrections): -13.314 eV per atom
SG: No. 164
N(E_F): 0.1980 states/eV/atom

a b c (Å): 10.887 10.887 8.502
angles (deg): 90.00 90.00 120.00
Positions (direct):
H (0.130, 0.482, 0.180)
H (0.130, 0.648, 0.180)
H (0.186, 0.593, 0.007)
H (0.278, 0.556, 0.412)
H (0.278, 0.722, 0.412)
H (0.352, 0.482, 0.180)
H (0.352, 0.870, 0.180)
H (0.407, 0.593, 0.007)
H (0.407, 0.814, 0.007)
H (0.444, 0.722, 0.412)
H (0.482, 0.130, 0.820)
H (0.482, 0.352, 0.820)
H (0.518, 0.648, 0.180)
H (0.518, 0.870, 0.180)
H (0.556, 0.278, 0.588)
H (0.593, 0.186, 0.993)
H (0.593, 0.407, 0.993)
H (0.648, 0.130, 0.820)
H (0.648, 0.518, 0.820)
H (0.722, 0.278, 0.588)
H (0.722, 0.444, 0.588)
H (0.814, 0.407, 0.993)
H (0.870, 0.352, 0.820)
H (0.870, 0.518, 0.820)
W (0.090, 0.180, 0.628)
W (0.090, 0.910, 0.628)
W (0.180, 0.090, 0.372)
W (0.820, 0.910, 0.628)
W (0.910, 0.090, 0.372)
W (0.910, 0.820, 0.372)
C (0.184, 0.592, 0.136)
C (0.333, 0.667, 0.370)
C (0.408, 0.592, 0.136)
C (0.408, 0.816, 0.136)
C (0.592, 0.184, 0.864)
C (0.592, 0.408, 0.864)
C (0.667, 0.333, 0.630)
C (0.816, 0.408, 0.864)
N (0.333, 0.667, 0.195)
N (0.667, 0.333, 0.805)
Cl (0.000, 0.315, 0.500)
Cl (0.000, 0.685, 0.500)
Cl (0.101, 0.202, 0.187)
Cl (0.101, 0.899, 0.187)
Cl (0.194, 0.388, 0.798)
Cl (0.194, 0.806, 0.798)
Cl (0.202, 0.101, 0.813)
Cl (0.315, 0.000, 0.500)
Cl (0.315, 0.315, 0.500)
Cl (0.388, 0.194, 0.202)
Cl (0.612, 0.806, 0.798)
Cl (0.685, 0.000, 0.500)
Cl (0.685, 0.685, 0.500)
Cl (0.798, 0.899, 0.187)
Cl (0.806, 0.194, 0.202)
Cl (0.806, 0.612, 0.202)
Cl (0.899, 0.101, 0.813)
Cl (0.899, 0.798, 0.813)